# NaThTlGa

A relaxed structure of NaThTlGa (PBE, the Alexandria database).

formation enthalpy at 0 K	-0.0856	eV per atom
DFT total energy	-3.619	eV per atom

Cell and atoms, written as POSCAR:
```
NaThTlGa
1.0
0.0000 3.7375 3.7375
3.7375 0.0000 3.7375
3.7375 3.7375 0.0000
Na Th Tl Ga
1 1 1 1
Cartesian
0.0000 0.0000 0.0000
3.7375 3.7375 3.7375
1.8688 1.8688 1.8688
5.6063 5.6063 5.6063
```

***

# NaTiGa

A relaxed structure of NaTiGa (PBE, the Alexandria database).

formation enthalpy at 0 K	-0.0633	eV per atom
DFT total energy	-4.144	eV per atom
excess energy over the best structure of this formula in the dataset	8.3	kJ per mole of atoms

Cell and atoms, written as POSCAR:
```
NaTiGa
1.0
3.4670 0.0000 0.0000
0.0000 4.0250 0.0000
-0.0468 -2.0015 10.5168
Na Ti Ga
2 2 2
Cartesian
0.0000 0.0000 0.0000
1.6919 0.0087 7.8027
1.6715 2.0060 2.8089
3.4048 2.0085 4.9940
1.6709 -0.0046 4.9100
3.4039 -0.0061 2.8913
```

***

# NaTiGa

A relaxed structure of NaTiGa (PBE, the Alexandria database).

formation enthalpy at 0 K	0.1651	eV per atom
DFT total energy	-3.915	eV per atom
excess energy over the best structure of this formula in the dataset	30.4	kJ per mole of atoms

Cell and atoms, written as POSCAR:
```
NaTiGa
1.0
6.4454 0.0000 0.0000
0.0000 3.9621 0.0000
0.0000 0.0000 8.7657
Na Ti Ga
4 4 4
Cartesian
0.6913 0.9905 0.5105
2.5314 2.9716 4.8934
3.9140 0.9905 3.8723
5.7541 2.9716 8.2552
0.5044 0.9905 3.4026
2.7183 2.9716 7.7855
3.7271 0.9905 0.9803
5.9410 2.9716 5.3632
1.0637 0.9905 6.3636
2.1590 2.9716 1.9808
4.2864 0.9905 6.7850
5.3817 2.9716 2.4021
```

***

# NaTiGa

A relaxed structure of NaTiGa (PBE, the Alexandria database).

formation enthalpy at 0 K	0.0948	eV per atom
DFT total energy	-3.985	eV per atom
excess energy over the best structure of this formula in the dataset	23.6	kJ per mole of atoms

Cell and atoms, written as POSCAR:
```
NaTiGa
1.0
-1.4684 1.4684 6.9623
1.4684 -1.4684 6.9623
1.4684 1.4684 -6.9623
Na Ti Ga
1 1 1
Cartesian
0.0000 0.0000 0.0000
0.0000 0.0000 9.7555
0.0000 0.0000 4.5346
```